# 1
5
Lattice="4.670 0.000 0.000 0.000 4.670 0.000 0.000 0.000 3.515" Properties=species:S:1:pos:R:3 comment="Hf2NbCrH | Alexandria via LeMat-Bulk | PBE-GGA | optimized geometry" n_ef_per_ev_fu=6.44 rho_g_cm3=10.89 final_energy_ev_per_fu=-42.83 pbc="T T T"
Cr 0.000 0.000 1.757
H 0.000 0.000 0.000
Hf 2.335 0.000 0.000
Nb 2.335 2.335 1.757
Hf 0.000 2.335 0.000

---

# 2
5
Lattice="4.495 0.000 0.000 0.000 4.495 0.000 0.000 0.000 3.326" Properties=species:S:1:pos:R:3 comment="Hf2CrNiH | Alexandria via LeMat-Bulk | PBE-GGA | optimized geometry" relative_energy_kcal_per_mol_atoms=0.000 n_ef_per_ev_fu=4.42 rho_g_cm3=11.58 pbc="T T T"
Ni 2.247 2.247 1.663
H 0.000 0.000 0.000
Cr 0.000 0.000 1.663
Hf 2.247 0.000 0.000
Hf 0.000 2.247 0.000

---

# 3
5
Lattice="-3.042 -2.452 -2.214 3.241 -1.630 -2.647 0.477 -2.519 2.135" Properties=species:S:1:pos:R:3 comment="Hf2CrNiH | Alexandria via LeMat-Bulk | PBE-GGA | optimized geometry" relative_energy_kcal_per_mol_atoms=0.390 n_ef_per_ev_fu=4.79 rho_g_cm3=11.57 pbc="T T T"
Ni 0.239 -1.260 1.068
H 0.000 0.000 0.000
Cr 0.338 -3.301 -1.363
Hf -1.521 -1.226 -1.107
Hf 1.621 -0.815 -1.324

---

# 4
5
Lattice="4.207 0.000 0.000 0.000 4.978 0.000 0.000 0.000 4.207" Properties=species:S:1:pos:R:3 comment="HfCrP2H | Alexandria via LeMat-Bulk | PBE-GGA | optimized geometry" n_ef_per_ev_fu=2.52 rho_g_cm3=5.53 final_energy_ev_per_fu=-31.25 pbc="T T T"
H 2.104 2.489 2.104
P 2.104 0.000 0.000
P 0.000 0.000 2.104
Hf 0.000 2.489 0.000
Cr 0.000 0.000 0.000